The following is a PBE-GGA calculation of an optimized crystal structure of Nd2DySb, from the Alexandria database.

Lattice parameters (Å, degrees): 4.246 4.246 6.842 90.00 90.00 90.00
Fractional positions:
Nd 0.000 0.000 0.231
Nd 0.000 0.000 0.769
Dy 0.500 0.500 0.500
Sb 0.500 0.500 0.000

Properties
* calculated volume: 30.830 Å³/atom
* polymorph energy (0 for the lowest one): 0.0265 eV per atom
* symmetry: No. 123
* uncorrected formation energy: -501.7 meV/atom